Entry 1:
A plane-wave DFT calculation with PBE was carried out for a relaxed structure of HgP2Au.

Unit cell a=7.4271 b=7.4271 c=7.4271 alpha=155.49 beta=150.04 gamma=39.08
Last column: nearest neighbours and their distance in Å.
Fractional coordinates of all 4 atoms:
P 0.8346 0.3346 0.5000  2 P 2.18
P 0.9419 0.9419 0.0000  2 P 2.18
Au 0.5342 0.5342 0.0000  4 P 2.80, 2 Hg 2.90
Hg 0.1893 0.6893 0.5000  2 Au 2.90, 2 Hg 3.15, 4 P 3.21

Summary:
Energy relative to the elements, meV/atom: 276
E_tot, eV/atom: -3.323
Total magnetic moment, μB per cell: 0.00

Entry 2:
A plane-wave DFT calculation with PBE was carried out for a relaxed structure of Hg2PAu.

Unit cell a=3.1365 b=3.1365 c=10.7892 alpha=90.00 beta=90.00 gamma=125.13
Last column: nearest neighbours and their distance in Å.
Fractional coordinates of all 4 atoms:
P 0.0000 0.0000 0.5329  2 Au 2.55
Hg 0.5000 0.5000 0.2646  6 Hg 2.89-3.14, 2 P 3.24
Hg 0.0000 0.0000 0.9750  6 Hg 2.89-3.14, 2 Au 3.04
Au 0.5000 0.5000 0.7274  2 P 2.55

Summary:
Energy relative to the elements, meV/atom: 337
E_tot, eV/atom: -1.986
Total magnetic moment, μB per cell: 0.00

Entry 3:
A plane-wave DFT calculation with PBE was carried out for a relaxed structure of HgPAu2.

Unit cell a=5.3109 b=5.3109 c=5.3109 alpha=134.71 beta=134.71 gamma=65.99
Last column: nearest neighbours and their distance in Å.
Fractional coordinates of all 4 atoms:
P 0.7500 0.2500 0.5000  8 Au 2.89-3.02, 4 Hg 3.02
Au 0.0000 0.0000 0.0000  4 Hg 2.89, 4 Au 3.02, 4 P 3.02
Au 0.2500 0.7500 0.5000  4 P 2.89, 4 Hg 3.02, 4 Au 3.02
Hg 0.5000 0.5000 0.0000  8 Au 2.89-3.02, 4 P 3.02

Summary:
Energy relative to the elements, meV/atom: 351
E_tot, eV/atom: -2.715
Total magnetic moment, μB per cell: 0.00

Entry 4:
A plane-wave DFT calculation with PBE was carried out for a relaxed structure of Hg2PAu.

Unit cell a=3.8534 b=2.8365 c=7.7360 alpha=90.01 beta=90.00 gamma=90.00
Last column: nearest neighbours and their distance in Å.
Fractional coordinates of all 4 atoms:
Au 0.5000 0.7500 0.7500  2 Au 2.84, 8 Hg 3.06
Hg 0.0000 0.2494 0.9973  2 P 2.74, 2 Hg 2.84, 4 Au 3.06
Hg 0.0000 0.2506 0.5027  2 P 2.74, 2 Hg 2.84, 4 Au 3.06
P 0.5000 0.2500 0.2500  4 Hg 2.74, 2 P 2.84

Summary:
Energy relative to the elements, meV/atom: 299
E_tot, eV/atom: -2.023
Total magnetic moment, μB per cell: 0.00

Entry 5:
A plane-wave DFT calculation with PBE was carried out for a relaxed structure of HgP2Au.

Unit cell a=3.2109 b=3.2109 c=7.5950 alpha=90.00 beta=90.00 gamma=90.00
Last column: nearest neighbours and their distance in Å.
Fractional coordinates of all 4 atoms:
P 0.0000 0.0000 0.1759  4 P 2.37, 1 Au 2.42
P 0.5000 0.5000 0.0876  4 P 2.37, 1 Hg 2.62
Au 0.0000 0.0000 0.4940  1 P 2.42
Hg 0.5000 0.5000 0.7426  1 P 2.62

Summary:
Energy relative to the elements, meV/atom: 125
E_tot, eV/atom: -3.475
Total magnetic moment, μB per cell: 0.00

Entry 6:
A plane-wave DFT calculation with PBE was carried out for a relaxed structure of Hg2PAu.

Unit cell a=3.1009 b=3.1009 c=8.8110 alpha=90.00 beta=90.00 gamma=105.48
Last column: nearest neighbours and their distance in Å.
Fractional coordinates of all 4 atoms:
Hg 0.0000 0.0000 0.0045  2 P 2.86, 2 Au 2.92, 4 Hg 3.10
Hg 0.0000 0.0000 0.4955  2 P 2.86, 2 Au 2.92, 4 Hg 3.10
Au 0.5000 0.5000 0.7500  4 Hg 2.92, 4 Au 3.10
P 0.5000 0.5000 0.2500  4 Hg 2.86, 4 P 3.10

Summary:
Energy relative to the elements, meV/atom: 426
E_tot, eV/atom: -1.897
Total magnetic moment, μB per cell: 0.00

Entry 7:
A plane-wave DFT calculation with PBE was carried out for a relaxed structure of HgP2Au.

Unit cell a=4.5950 b=4.5950 c=3.7461 alpha=90.00 beta=90.00 gamma=107.96
Last column: nearest neighbours and their distance in Å.
Fractional coordinates of all 4 atoms:
Au 0.5000 0.0000 0.5000  2 Hg 2.70, 8 P 2.96
P 0.5000 0.5000 0.0000  2 P 2.70, 4 Hg 2.96, 4 Au 2.96
P 0.0000 0.0000 0.0000  2 P 2.70, 4 Au 2.96, 4 Hg 2.96
Hg 0.0000 0.5000 0.5000  2 Au 2.70, 8 P 2.96

Summary:
Energy relative to the elements, meV/atom: 602
E_tot, eV/atom: -2.998
Total magnetic moment, μB per cell: 0.00

Entry 8:
A plane-wave DFT calculation with PBE was carried out for a relaxed structure of HgPAu.

Unit cell a=7.3636 b=7.3636 c=7.3636 alpha=153.92 beta=153.92 gamma=37.22
Last column: nearest neighbours and their distance in Å.
Fractional coordinates of all 3 atoms:
Hg 0.3251 0.3251 0.0000  4 Hg 3.32
Au 0.0581 0.0581 0.0000  4 P 2.49
P 0.6168 0.6168 0.0000  4 Au 2.49

Summary:
Energy relative to the elements, meV/atom: 320
E_tot, eV/atom: -2.676
Total magnetic moment, μB per cell: 0.00